# ScIn4Re GGA-PBE relaxed
# Energy of formation in eV/atom: 0.6099
# Calculated total energy in eV/atom: -4.346
data_ScIn4Re
_chemical_formula_sum 'Sc4 In16 Re4'
_space_group_name_H-M_alt 'F -4 3 m'
_space_group_IT_number 216
_space_group_name_Hall 'F -4 2 3'
_cell_length_a 8.0640
_cell_length_b 8.0640
_cell_length_c 8.0640
_cell_angle_alpha 90.00
_cell_angle_beta 90.00
_cell_angle_gamma 90.00
loop_
_atom_site_label
_atom_site_type_symbol
_atom_site_fract_x
_atom_site_fract_y
_atom_site_fract_z
Sc1 Sc 0.0000 0.0000 0.0000
In1 In 0.1249 0.1249 0.6249
Re1 Re 0.2500 0.2500 0.2500